Computed, not measured: CaMgAl2Zn2 after structural relaxation at the PBE-GGA level of DFT.

Cell lengths 4.439, 4.439, 7.110 Å; angles 90.00, 90.00, 120.00 degrees
Element x y z (fractional)
Ca 0.000 0.000 0.000
Mg 0.000 0.000 0.500
Al 0.333 0.667 0.717
Al 0.667 0.333 0.283
Zn 0.333 0.667 0.283
Zn 0.667 0.333 0.717

DOS(E_F) = 3.452 states/eV/f.u.
total magnetic moment = 0.000 μB/f.u.
SG = P-3m1, No. 164
DFT formation energy = -0.179 eV/atom

***

Computed, not measured: InMoS2I after structural relaxation at the PBE-GGA level of DFT.

Cell lengths 4.707, 4.707, 5.877 Å; angles 90.00, 90.00, 90.00 degrees
Element x y z (fractional)
In 0.000 0.000 0.000
Mo 0.500 0.500 0.500
S 0.000 0.500 0.500
S 0.500 0.000 0.500
I 0.500 0.500 0.000

DOS(E_F) = 3.145 states/eV/f.u.
total magnetic moment = 0.008 μB/f.u.
SG = P4/mmm, No. 123
formation energy without anion corrections = -0.123 eV/atom

***

Computed, not measured: AcEr3 after structural relaxation at the PBE-GGA level of DFT.

Cell lengths 6.839, 6.839, 6.839 Å; angles 148.29, 64.67, 125.25 degrees
Element x y z (fractional)
Ac 0.000 0.000 0.000
Er 0.109 0.353 0.756
Er 0.509 0.009 0.500
Er 0.596 0.353 0.244

DOS(E_F) = 6.212 states/eV/f.u.
total magnetic moment = 0.000 μB/f.u.
SG = Imm2, No. 44
DFT formation energy = 0.060 eV/atom

***

Computed, not measured: BaAl3O after structural relaxation at the PBE-GGA level of DFT.

Cell lengths 4.779, 4.779, 4.779 Å; angles 90.00, 90.00, 90.00 degrees
Element x y z (fractional)
Ba 0.000 0.000 0.000
Al 0.000 0.500 0.500
Al 0.500 0.000 0.500
Al 0.500 0.500 0.000
O 0.500 0.500 0.500

DOS(E_F) = 3.502 states/eV/f.u.
total magnetic moment = 0.000 μB/f.u.
SG = Pm-3m, No. 221
formation energy without anion corrections = -0.149 eV/atom

***

Computed, not measured: Th2FeCuNi after structural relaxation at the PBE-GGA level of DFT.

Cell lengths 7.225, 4.479, 7.257 Å; angles 90.00, 117.54, 90.00 degrees
Element x y z (fractional)
Th 0.123 0.250 0.365
Th 0.364 0.750 0.121
Th 0.636 0.250 0.879
Th 0.877 0.750 0.635
Fe 0.032 0.250 0.968
Fe 0.968 0.750 0.032
Cu 0.327 0.750 0.673
Cu 0.673 0.250 0.327
Ni 0.222 0.250 0.776
Ni 0.778 0.750 0.224

DOS(E_F) = 3.785 states/eV/f.u.
total magnetic moment = 0.775 μB/f.u.
SG = P2_1/m, No. 11
DFT formation energy = -0.176 eV/atom

***

Computed, not measured: CaPr2Os after structural relaxation at the PBE-GGA level of DFT.

Cell lengths 9.525, 9.525, 9.525 Å; angles 25.64, 25.64, 25.64 degrees
Element x y z (fractional)
Ca 0.000 0.000 0.000
Pr 0.552 0.552 0.552
Pr 0.778 0.778 0.778
Os 0.164 0.164 0.164

DOS(E_F) = 3.415 states/eV/f.u.
total magnetic moment = 0.000 μB/f.u.
SG = R3m, No. 160
DFT formation energy = 0.103 eV/atom